An optimized crystal structure of PmDyTl2. Source: the Alexandria database, functional GGA-PBE.

a = 3.806 Å, b = 3.806 Å, c = 9.937 Å
α = 78.96°, β = 78.96°, γ = 60.00°
Positions (direct):
Tl  0.748  0.748  0.755
Tl  0.252  0.252  0.245
Pm  0.500  0.500  0.500
Dy  0.000  0.000  0.000

Values from the calculation:
**DFT formation energy**: -263 meV per atom
**Symmetry**: R-3m, No. 166
**Magnetization**: 0.00 Bohr magnetons per cell
**Energy**: -3.785 eV/atom

An optimized crystal structure of RbZnSe. Source: the Alexandria database, functional GGA-PBE.

a = 5.705 Å, b = 5.705 Å, c = 10.344 Å
α = 73.99°, β = 73.99°, γ = 60.00°
Positions (direct):
Rb  0.388  0.388  0.837
Rb  0.612  0.612  0.163
Se  0.266  0.266  0.202
Se  0.734  0.734  0.798
Zn  0.188  0.188  0.437
Zn  0.812  0.812  0.563

Values from the calculation:
**Symmetry**: R-3m, No. 166
**ΔE_f (raw)**: -0.356 eV per atom
**Magnetization**: 0.00 Bohr magnetons per cell
**Energy**: -2.264 eV/atom

An optimized crystal structure of BaCl4. Source: the Alexandria database, functional GGA-PBE.

a = 6.268 Å, b = 6.268 Å, c = 6.268 Å
α = 109.47°, β = 109.47°, γ = 109.47°
Last column: magnetic moment on the atom in μB.
Positions (direct):
Ba  0.000  0.000  0.000  -0.01
Cl  0.500  0.000  0.000  0.40
Cl  0.500  0.500  0.500  0.40
Cl  0.000  0.500  0.000  0.40
Cl  0.000  0.000  0.500  0.40

Values from the calculation:
**Symmetry**: Im-3m, No. 229
**ΔE_f (raw)**: -1.089 eV per atom
**Magnetization**: 2.04 Bohr magnetons per cell
**Energy**: -2.951 eV/atom

An optimized crystal structure of Cr8Rh. Source: the Alexandria database, functional GGA-PBE.

a = 6.297 Å, b = 6.297 Å, c = 6.297 Å
α = 92.95°, β = 92.95°, γ = 153.76°
Positions (direct):
Cr  0.336  0.000  0.336
Cr  0.664  0.000  0.664
Cr  0.000  0.664  0.664
Cr  0.324  0.676  0.000
Cr  0.676  0.676  0.352
Cr  0.000  0.336  0.336
Cr  0.324  0.324  0.648
Cr  0.676  0.324  0.000
Rh  0.000  0.000  0.000

Values from the calculation:
**DFT formation energy**: 47 meV per atom
**Symmetry**: I4/mmm, No. 139
**Magnetization**: 0.00 Bohr magnetons per cell
**Energy**: -9.324 eV/atom

An optimized crystal structure of Li4Ac2MgHg3. Source: the Alexandria database, functional GGA-PBE.

a = 4.430 Å, b = 4.430 Å, c = 12.789 Å
α = 90.00°, β = 90.00°, γ = 90.00°
Positions (direct):
Li  0.500  0.500  0.000
Li  0.000  0.000  0.000
Li  0.500  0.000  0.634
Li  0.000  0.500  0.366
Ac  0.500  0.000  0.250
Ac  0.000  0.500  0.750
Mg  0.500  0.500  0.500
Hg  0.000  0.000  0.500
Hg  0.500  0.000  0.857
Hg  0.000  0.500  0.143

Values from the calculation:
**DFT formation energy**: -277 meV per atom
**Symmetry**: P-4m2, No. 115
**Magnetization**: 0.00 Bohr magnetons per cell
**Energy**: -2.114 eV/atom

An optimized crystal structure of TlRu3Cl. Source: the Alexandria database, functional GGA-PBE.

a = 4.418 Å, b = 4.418 Å, c = 4.418 Å
α = 90.00°, β = 90.00°, γ = 90.00°
Positions (direct):
Ru  0.000  0.500  0.000
Ru  0.000  0.000  0.500
Ru  0.500  0.000  0.000
Tl  0.500  0.500  0.500
Cl  0.000  0.000  0.000

Values from the calculation:
**Symmetry**: Pm-3m, No. 221
**ΔE_f (raw)**: 1.087 eV per atom
**Polymorph energy (0 for the lowest one)**: 0.000 eV per formula unit
**Magnetization**: 0.00 Bohr magnetons per cell
**Energy**: -5.321 eV/atom

An optimized crystal structure of La5Tl2H. Source: the Alexandria database, functional GGA-PBE.

a = 7.262 Å, b = 7.262 Å, c = 6.965 Å
α = 121.35°, β = 121.35°, γ = 90.08°
Positions (direct):
La  0.752  0.252  0.004
La  0.251  0.251  0.003
La  0.752  0.752  0.003
La  0.252  0.752  0.004
La  0.755  0.755  0.510
Tl  0.253  0.752  0.505
Tl  0.752  0.253  0.505
H  0.011  0.011  0.021

Values from the calculation:
**Symmetry**: I4mm, No. 107
**Magnetization**: 0.00 Bohr magnetons per cell
**Energy**: -4.285 eV/atom

An optimized crystal structure of Ta2CuHgTe. Source: the Alexandria database, functional GGA-PBE.

a = 5.048 Å, b = 5.403 Å, c = 5.048 Å
α = 90.00°, β = 90.00°, γ = 90.00°
Positions (direct):
Te  0.000  0.000  0.000
Hg  0.000  0.500  0.000
Cu  0.500  0.500  0.500
Ta  0.000  0.000  0.500
Ta  0.500  0.000  0.000

Values from the calculation:
**Symmetry**: P4/mmm, No. 123
**ΔE_f (raw)**: 1.917 eV per atom
**Magnetization**: 0.00 Bohr magnetons per cell
**Energy**: -4.332 eV/atom

An optimized crystal structure of Sr2Cd10In. Source: the Alexandria database, functional GGA-PBE.

a = 6.190 Å, b = 12.302 Å, c = 10.668 Å
α = 90.00°, β = 90.00°, γ = 90.00°
Positions (direct):
Sr  0.500  0.372  0.865
Sr  0.500  0.628  0.135
Sr  0.500  0.872  0.635
Sr  0.500  0.128  0.365
Cd  0.000  0.111  0.540
Cd  0.000  0.889  0.460
Cd  0.000  0.611  0.960
Cd  0.000  0.389  0.040
Cd  0.000  0.198  0.815
Cd  0.000  0.802  0.185
Cd  0.268  0.195  0.081
Cd  0.268  0.805  0.919
Cd  0.732  0.695  0.419
Cd  0.732  0.305  0.581
Cd  0.732  0.805  0.919
Cd  0.732  0.195  0.081
Cd  0.268  0.305  0.581
Cd  0.268  0.695  0.419
Cd  0.000  0.051  0.264
Cd  0.000  0.949  0.736
Cd  0.000  0.551  0.236
Cd  0.000  0.449  0.764
Cd  0.000  0.302  0.315
Cd  0.000  0.698  0.685
In  0.000  0.500  0.500
In  0.000  0.000  0.000

Values from the calculation:
**DFT formation energy**: -23 meV per atom
**Symmetry**: Pbam, No. 55
**Magnetization**: 0.00 Bohr magnetons per cell
**Energy**: -1.196 eV/atom

An optimized crystal structure of KNdHgBr6. Source: the Alexandria database, functional GGA-PBE.

a = 7.440 Å, b = 7.440 Å, c = 14.631 Å
α = 90.00°, β = 90.00°, γ = 120.00°
Positions (direct):
K  0.000  0.000  0.000
K  0.000  0.000  0.500
Nd  0.333  0.667  0.250
Nd  0.667  0.333  0.750
Hg  0.667  0.333  0.250
Hg  0.333  0.667  0.750
Br  0.633  0.628  0.135
Br  0.995  0.367  0.135
Br  0.367  0.995  0.635
Br  0.005  0.633  0.865
Br  0.372  0.367  0.365
Br  0.995  0.628  0.365
Br  0.628  0.995  0.865
Br  0.633  0.005  0.365
Br  0.005  0.372  0.635
Br  0.372  0.005  0.135
Br  0.628  0.633  0.635
Br  0.367  0.372  0.865

Values from the calculation:
**Symmetry**: P-31c, No. 163
**ΔE_f (raw)**: -1.357 eV per atom
**Magnetization**: 0.00 Bohr magnetons per cell
**Energy**: -3.158 eV/atom

An optimized crystal structure of Hf2SnS. Source: the Alexandria database, functional GGA-PBE.

a = 5.542 Å, b = 5.542 Å, c = 8.144 Å
α = 70.11°, β = 70.11°, γ = 90.00°
Positions (direct):
S  0.500  0.500  0.000
S  0.250  0.750  0.500
Hf  0.552  0.125  0.250
Hf  0.198  0.625  0.250
Hf  0.375  0.448  0.750
Hf  0.875  0.802  0.750
Sn  0.000  0.000  0.000
Sn  0.750  0.250  0.500

Values from the calculation:
**Symmetry**: I-42d, No. 122
**ΔE_f (raw)**: -0.087 eV per atom
**Polymorph energy (0 for the lowest one)**: 2.706 eV per formula unit
**Magnetization**: 0.00 Bohr magnetons per cell
**Energy**: -7.096 eV/atom

An optimized crystal structure of LiLaBr2. Source: the Alexandria database, functional GGA-PBE.

a = 5.284 Å, b = 5.284 Å, c = 5.284 Å
α = 60.00°, β = 60.00°, γ = 60.00°
Last column: magnetic moment on the atom in μB.
Positions (direct):
Li  0.000  0.000  0.000  0.09
Br  0.250  0.250  0.250  0.03
Br  0.750  0.750  0.750  0.03
La  0.500  0.500  0.500  0.70

Values from the calculation:
**Symmetry**: Fm-3m, No. 225
**ΔE_f (raw)**: -1.017 eV per atom
**Polymorph energy (0 for the lowest one)**: 1.526 eV per formula unit
**Magnetization**: 2.00 Bohr magnetons per cell
**Energy**: -3.564 eV/atom